1.
Compound: Pm2Y4Se9
Source: the Alexandria database
Functional: PBE
Structure: relaxed

a b c (Å): 7.2835 7.2823 19.5886
angles (deg): 90.00 90.00 59.99
Closest atoms and distances in Å follow each position.
Fractional coordinates of all 30 atoms:
Pm 0.9999 0.9999 0.3507  6 Se 2.91-2.99
Pm 0.9998 0.0001 0.1493  6 Se 2.91-2.99
Pm 0.0001 0.0001 0.6493  6 Se 2.91-2.99
Pm 0.0002 0.9999 0.8507  6 Se 2.91-2.99
Y 0.3334 0.3333 0.9864  6 Se 2.85-2.91
Y 0.3333 0.3334 0.4864  6 Se 2.85-2.91
Y 0.6666 0.6667 0.0136  6 Se 2.85-2.91
Y 0.3332 0.3334 0.1823  6 Se 2.85-2.92
Y 0.6667 0.6666 0.5136  6 Se 2.85-2.91
Y 0.6665 0.6666 0.3178  6 Se 2.85-2.92
Y 0.3335 0.3334 0.6822  6 Se 2.85-2.92
Y 0.6668 0.6666 0.8177  6 Se 2.85-2.92
Se 0.0003 0.3081 0.7500  2 Y 2.85, 2 Pm 2.99
Se 0.3084 0.6918 0.7499  2 Y 2.85, 2 Pm 2.99
Se 0.6920 0.0000 0.7500  2 Y 2.85, 2 Pm 2.99
Se 0.9997 0.6919 0.2500  2 Y 2.85, 2 Pm 2.99
Se 0.6916 0.3082 0.2501  2 Y 2.85, 2 Pm 2.99
Se 0.3080 0.0000 0.2500  2 Y 2.85, 2 Pm 2.99
Se 0.6557 0.9732 0.4163  3 Y 2.85-2.92, 1 Pm 2.91
Se 0.9732 0.3709 0.4163  3 Y 2.85-2.92, 1 Pm 2.91
Se 0.3710 0.6559 0.4164  3 Y 2.85-2.92, 1 Pm 2.91
Se 0.6289 0.0269 0.0837  3 Y 2.85-2.92, 1 Pm 2.91
Se 0.3441 0.6290 0.0837  3 Y 2.85-2.92, 1 Pm 2.91
Se 0.0269 0.3441 0.0837  3 Y 2.85-2.92, 1 Pm 2.91
Se 0.3443 0.0268 0.5837  3 Y 2.85-2.92, 1 Pm 2.91
Se 0.0268 0.6291 0.5837  3 Y 2.85-2.92, 1 Pm 2.91
Se 0.6290 0.3441 0.5836  3 Y 2.85-2.92, 1 Pm 2.91
Se 0.3711 0.9731 0.9163  3 Y 2.85-2.92, 1 Pm 2.91
Se 0.6559 0.3710 0.9163  3 Y 2.85-2.92, 1 Pm 2.91
Se 0.9731 0.6559 0.9163  3 Y 2.85-2.92, 1 Pm 2.91

Results
Crystal system: trigonal
Formation energy from raw total energies (eV/atom): -1.8573
Total magnetic moment (μB per cell): 0.000


2.
Compound: Pm6YSe8
Source: the Alexandria database
Functional: PBE
Structure: relaxed

a b c (Å): 8.3555 8.3555 8.3555
angles (deg): 60.00 60.00 60.00
Closest atoms and distances in Å follow each position.
Fractional coordinates of all 15 atoms:
Pm 0.0000 0.5000 0.5000  6 Se 2.95
Pm 0.5000 0.0000 0.0000  6 Se 2.95
Pm 0.5000 0.5000 0.0000  6 Se 2.95
Pm 0.0000 0.0000 0.5000  6 Se 2.95
Pm 0.0000 0.5000 0.0000  6 Se 2.95
Pm 0.5000 0.0000 0.5000  6 Se 2.95
Y 0.0000 0.0000 0.0000  6 Se 2.93
Se 0.7500 0.7500 0.7500  6 Pm 2.95
Se 0.2500 0.2500 0.2500  6 Pm 2.95
Se 0.7519 0.2481 0.2481  1 Y 2.93, 4 Pm 2.95
Se 0.2481 0.7519 0.7519  1 Y 2.93, 4 Pm 2.95
Se 0.2481 0.2481 0.7519  1 Y 2.93, 4 Pm 2.95
Se 0.7519 0.7519 0.2481  1 Y 2.93, 4 Pm 2.95
Se 0.7519 0.2481 0.7519  1 Y 2.93, 4 Pm 2.95
Se 0.2481 0.7519 0.2481  1 Y 2.93, 4 Pm 2.95

Results
Crystal system: cubic
Formation energy from raw total energies (eV/atom): -1.8794
Total magnetic moment (μB per cell): 0.000


3.
Compound: PmYSe2
Source: the Alexandria database
Functional: PBE
Structure: relaxed

a b c (Å): 4.1333 4.1333 7.1975
angles (deg): 73.31 73.31 60.00
Closest atoms and distances in Å follow each position.
Fractional coordinates of all 4 atoms:
Y 0.5000 0.5000 0.5000  6 Se 2.89
Se 0.2465 0.2465 0.2605  3 Y 2.89, 3 Pm 2.97
Se 0.7535 0.7535 0.7395  3 Y 2.89, 3 Pm 2.97
Pm 0.0000 0.0000 0.0000  6 Se 2.97

Results
Crystal system: trigonal
Formation energy from raw total energies (eV/atom): -1.8031
Energy above the lowest structure with this stoichiometry (kcal/mol of atoms): 0.03
Total magnetic moment (μB per cell): 0.000


4.
Compound: PmY3Se4
Source: the Alexandria database
Functional: PBE
Structure: relaxed

a b c (Å): 4.1074 4.1074 13.6892
angles (deg): 81.37 81.37 60.00
Closest atoms and distances in Å follow each position.
Fractional coordinates of all 8 atoms:
Y 0.7509 0.7509 0.7473  6 Se 2.88-2.90
Y 0.5000 0.5000 0.5000  6 Se 2.90
Y 0.2491 0.2491 0.2527  6 Se 2.88-2.90
Se 0.6227 0.6227 0.1320  3 Y 2.88, 3 Pm 2.96
Se 0.8744 0.8744 0.3767  6 Y 2.90
Se 0.3773 0.3773 0.8680  3 Y 2.88, 3 Pm 2.96
Se 0.1256 0.1256 0.6233  6 Y 2.90
Pm 0.0000 0.0000 0.0000  6 Se 2.96

Results
Crystal system: trigonal
Formation energy from raw total energies (eV/atom): -1.7822
Energy above the lowest structure with this stoichiometry (kcal/mol of atoms): 0.00
Total magnetic moment (μB per cell): 0.000


5.
Compound: Pm4Y3Se8
Source: the Alexandria database
Functional: PBE
Structure: relaxed

a b c (Å): 8.1505 8.1505 8.9581
angles (deg): 62.94 62.94 60.00
Closest atoms and distances in Å follow each position.
Fractional coordinates of all 15 atoms:
Pm 0.0000 0.0000 0.0000  6 Se 3.04
Pm 0.3540 0.3540 0.9380  4 Se 2.79-2.85
Pm 0.5000 0.5000 0.5000  6 Se 3.02, 2 Pm 3.34
Pm 0.6460 0.6460 0.0620  4 Se 2.79-2.85
Y 0.5000 0.0000 0.5000  6 Se 2.78-2.95
Y 0.0000 0.0000 0.5000  6 Se 2.78-2.95
Y 0.0000 0.5000 0.5000  6 Se 2.78-2.95
Se 0.2318 0.2318 0.3046  3 Y 2.78, 1 Pm 2.79
Se 0.2381 0.7500 0.2618  3 Pm 2.85-3.04, 2 Y 2.95
Se 0.7500 0.7500 0.2618  3 Pm 2.85-3.04, 2 Y 2.95
Se 0.7500 0.2381 0.2618  3 Pm 2.85-3.04, 2 Y 2.95
Se 0.7682 0.7682 0.6954  3 Y 2.78, 1 Pm 2.79
Se 0.7619 0.2500 0.7382  3 Pm 2.85-3.04, 2 Y 2.95
Se 0.2500 0.2500 0.7382  3 Pm 2.85-3.04, 2 Y 2.95
Se 0.2500 0.7619 0.7382  3 Pm 2.85-3.04, 2 Y 2.95

Results
Crystal system: trigonal
Formation energy from raw total energies (eV/atom): -1.6334
Energy above the lowest structure with this stoichiometry (kcal/mol of atoms): 5.13
Total magnetic moment (μB per cell): 0.000


6.
Compound: Pm2Y3Se8
Source: the Alexandria database
Functional: PBE
Structure: relaxed

a b c (Å): 7.0513 8.3039 8.3318
angles (deg): 119.89 106.80 90.00
Closest atoms and distances in Å follow each position.
Fractional coordinates of all 13 atoms:
Pm 0.3381 0.2594 0.5188  6 Se 2.90-2.98
Pm 0.6619 0.7406 0.4812  6 Se 2.90-2.98
Y 0.5000 0.0000 0.0000  6 Se 2.84-2.89
Y 0.0000 0.2610 0.0000  6 Se 2.82-2.91
Y 0.0000 0.7390 0.0000  6 Se 2.82-2.91
Se 0.9208 0.6210 0.2419  2 Y 2.82, 1 Pm 2.90
Se 0.0792 0.3790 0.7581  2 Y 2.82, 1 Pm 2.90
Se 0.9216 0.1162 0.2324  3 Y 2.89-2.91, 1 Pm 2.98
Se 0.0784 0.8838 0.7676  3 Y 2.89-2.91, 1 Pm 2.98
Se 0.5878 0.6415 0.7582  2 Y 2.84-2.86, 2 Pm 2.97-2.98
Se 0.5878 0.1167 0.7582  2 Y 2.84-2.86, 2 Pm 2.97-2.98
Se 0.4122 0.8833 0.2418  2 Y 2.84-2.86, 2 Pm 2.97-2.98
Se 0.4122 0.3585 0.2418  2 Y 2.84-2.86, 2 Pm 2.97-2.98

Results
Crystal system: monoclinic
Formation energy from raw total energies (eV/atom): -1.7328
Total magnetic moment (μB per cell): 0.000


7.
Compound: PmYSe2
Source: the Alexandria database
Functional: PBE
Structure: relaxed

a b c (Å): 4.3342 6.5148 9.3258
angles (deg): 90.01 90.00 90.00
Closest atoms and distances in Å follow each position.
Fractional coordinates of all 8 atoms:
Pm 0.2010 0.8047 0.7692  4 Se 2.82-2.92
Pm 0.7010 0.3046 0.4468  4 Se 2.82-2.92
Y 0.2010 0.9277 0.1930  4 Se 2.77-2.97
Y 0.7010 0.4279 0.0229  4 Se 2.77-2.97
Se 0.7010 0.6626 0.2710  3 Y 2.77-2.87, 1 Pm 2.85
Se 0.7010 0.5383 0.7142  3 Pm 2.82-2.92, 1 Y 2.97
Se 0.2010 0.0382 0.5018  3 Pm 2.82-2.92, 1 Y 2.97
Se 0.2010 0.1628 0.9450  3 Y 2.77-2.86, 1 Pm 2.85

Results
Crystal system: orthorhombic
Formation energy from raw total energies (eV/atom): -1.3946
Energy above the lowest structure with this stoichiometry (kcal/mol of atoms): 9.45
Total magnetic moment (μB per cell): 0.000


8.
Compound: PmYSe2
Source: the Alexandria database
Functional: PBE
Structure: relaxed

a b c (Å): 4.0744 4.0744 14.0167
angles (deg): 90.00 90.00 120.00
Closest atoms and distances in Å follow each position.
Fractional coordinates of all 8 atoms:
Pm 0.6667 0.3333 0.2500  6 Se 2.99
Pm 0.3333 0.6667 0.7500  6 Se 2.99
Y 0.0000 0.0000 0.5000  6 Se 2.88
Y 0.0000 0.0000 0.0000  6 Se 2.88
Se 0.3333 0.6667 0.3812  3 Y 2.88, 3 Pm 2.99
Se 0.6667 0.3333 0.8812  3 Y 2.88, 3 Pm 2.99
Se 0.6667 0.3333 0.6188  3 Y 2.88, 3 Pm 2.99
Se 0.3333 0.6667 0.1188  3 Y 2.88, 3 Pm 2.99

Results
Crystal system: hexagonal
Formation energy from raw total energies (eV/atom): -1.8042
Energy above the lowest structure with this stoichiometry (kcal/mol of atoms): 0.00
Total magnetic moment (μB per cell): 0.000


9.
Compound: Pm3Y5Se8
Source: the Alexandria database
Functional: PBE
Structure: relaxed

a b c (Å): 8.2396 8.2396 8.2791
angles (deg): 60.16 60.16 60.00
Closest atoms and distances in Å follow each position.
Fractional coordinates of all 16 atoms:
Pm 0.5000 0.0000 0.5000  6 Se 2.96
Pm 0.0000 0.0000 0.5000  6 Se 2.96
Pm 0.0000 0.5000 0.5000  6 Se 2.96
Y 0.5000 0.0000 0.0000  6 Se 2.88
Y 0.5000 0.5000 0.0000  6 Se 2.88
Y 0.0000 0.0000 0.0000  6 Se 2.92
Y 0.0000 0.5000 0.0000  6 Se 2.88
Y 0.5000 0.5000 0.5000  6 Se 2.92
Se 0.2500 0.2500 0.7571  4 Y 2.88-2.92, 2 Pm 2.96
Se 0.2500 0.7430 0.7571  4 Y 2.88-2.92, 2 Pm 2.96
Se 0.7430 0.2500 0.7571  4 Y 2.88-2.92, 2 Pm 2.96
Se 0.7464 0.7464 0.7607  3 Y 2.88, 3 Pm 2.96
Se 0.7500 0.7500 0.2429  4 Y 2.88-2.92, 2 Pm 2.96
Se 0.7500 0.2570 0.2429  4 Y 2.88-2.92, 2 Pm 2.96
Se 0.2570 0.7500 0.2429  4 Y 2.88-2.92, 2 Pm 2.96
Se 0.2536 0.2536 0.2393  3 Y 2.88, 3 Pm 2.96

Results
Crystal system: trigonal
Formation energy from raw total energies (eV/atom): -1.7870
Total magnetic moment (μB per cell): 0.000


10.
Compound: Pm3YSe4
Source: the Alexandria database
Functional: PBE
Structure: relaxed

a b c (Å): 4.1214 7.2528 7.2528
angles (deg): 108.90 90.00 90.00
Closest atoms and distances in Å follow each position.
Fractional coordinates of all 8 atoms:
Y 0.5000 0.0000 0.0000  6 Se 2.91
Se 0.0000 0.2429 0.2429  2 Y 2.91, 4 Pm 2.95-2.99
Se 0.5000 0.7535 0.2465  1 Y 2.91, 5 Pm 2.95-2.99
Se 0.0000 0.7571 0.7571  2 Y 2.91, 4 Pm 2.95-2.99
Se 0.5000 0.2465 0.7535  1 Y 2.91, 5 Pm 2.95-2.99
Pm 0.0000 0.0000 0.5000  6 Se 2.95
Pm 0.5000 0.5000 0.5000  6 Se 2.99
Pm 0.0000 0.5000 0.0000  6 Se 2.95

Results
Crystal system: orthorhombic
Formation energy from raw total energies (eV/atom): -1.8150
Energy above the lowest structure with this stoichiometry (kcal/mol of atoms): 0.00
Total magnetic moment (μB per cell): 0.000